A plane-wave DFT calculation with PBE was carried out for Li3SmPd4 after structural relaxation.

Cell: 4.2872 6.9462 8.5743 Å, 90.00 90.00 90.00°
Closest atoms and distances in Å follow each position.
Element x y z (fractional)
Li 0.0000 0.0000 0.5000  8 Pd 2.64
Li 0.0000 0.0000 0.0000  8 Pd 2.64
Li 0.4999 0.5000 0.2500  8 Pd 2.89, 4 Sm 3.03
Li 0.4997 0.0000 0.7500  8 Pd 2.64
Li 0.5001 0.5000 0.7500  8 Pd 2.89, 4 Sm 3.03
Li 0.5003 0.0000 0.2500  8 Pd 2.64
Pd 0.5000 0.7785 0.5000  6 Li 2.64-2.89, 2 Sm 2.89
Pd 0.9997 0.7785 0.7500  6 Li 2.64-2.89, 2 Sm 2.89
Pd 0.9997 0.2215 0.7500  6 Li 2.64-2.89, 2 Sm 2.89
Pd 0.5000 0.2215 0.0000  6 Li 2.64-2.89, 2 Sm 2.89
Pd 0.5000 0.7785 0.0000  6 Li 2.64-2.89, 2 Sm 2.89
Pd 0.0003 0.7785 0.2500  6 Li 2.64-2.89, 2 Sm 2.89
Pd 0.5000 0.2215 0.5000  6 Li 2.64-2.89, 2 Sm 2.89
Pd 0.0003 0.2215 0.2500  6 Li 2.64-2.89, 2 Sm 2.89
Sm 0.0000 0.5000 0.5000  8 Pd 2.89, 4 Li 3.03
Sm 0.0000 0.5000 0.0000  8 Pd 2.89, 4 Li 3.03

Space-group type: P4/mmm, No. 123


A plane-wave DFT calculation with PBE was carried out for Li3SmPd6 after structural relaxation.

Cell: 4.3267 7.8962 9.3794 Å, 101.81 90.00 90.00°
Closest atoms and distances in Å follow each position.
Element x y z (fractional)
Pd 0.7500 0.1848 0.7288  4 Li 2.61-2.71, 1 Pd 2.87
Pd 0.7500 0.9317 0.0799  4 Li 2.59-2.67, 1 Pd 2.70, 1 Sm 2.79
Pd 0.2500 0.1589 0.2134  8 Pd 2.70-2.92, 2 Sm 2.85, 2 Li 2.98
Pd 0.2500 0.6124 0.7011  5 Li 2.54-2.81, 3 Pd 2.80-2.83, 1 Sm 2.80
Pd 0.7500 0.7204 0.4747  4 Li 2.60-2.75, 2 Pd 2.80-2.89
Pd 0.2500 0.4591 0.1022  7 Li 2.56-2.79, 1 Pd 2.78
Pd 0.7500 0.5409 0.8978  7 Li 2.56-2.79, 1 Pd 2.78
Pd 0.2500 0.0683 0.9201  4 Li 2.59-2.67, 1 Pd 2.70, 1 Sm 2.79
Pd 0.2500 0.2796 0.5253  4 Li 2.60-2.75, 2 Pd 2.80-2.89
Pd 0.7500 0.8411 0.7866  8 Pd 2.70-2.92, 2 Sm 2.85, 2 Li 2.98
Pd 0.7500 0.3876 0.2989  5 Li 2.54-2.81, 3 Pd 2.80-2.83, 1 Sm 2.80
Pd 0.2500 0.8152 0.2712  4 Li 2.61-2.71, 1 Pd 2.87
Li 0.7500 0.6454 0.1747  8 Pd 2.54-2.75
Li 0.7500 0.2504 0.0238  8 Pd 2.59-2.79
Li 0.2500 0.5398 0.3948  8 Pd 2.55-2.81
Li 0.2500 0.3546 0.8253  8 Pd 2.54-2.75
Li 0.2500 0.7496 0.9762  8 Pd 2.59-2.79
Li 0.7500 0.4602 0.6052  8 Pd 2.55-2.81
Sm 0.2500 0.9355 0.6210  9 Pd 2.79-3.03
Sm 0.7500 0.0645 0.3790  9 Pd 2.79-3.03

Space-group type: P2_1/m, No. 11


A plane-wave DFT calculation with PBE was carried out for Li2SmPd8 after structural relaxation.

Cell: 4.0609 6.3994 7.4018 Å, 106.69 105.92 90.00°
Closest atoms and distances in Å follow each position.
Element x y z (fractional)
Li 0.2276 0.6482 0.4553  10 Pd 2.68-2.84, 2 Li 2.97
Li 0.7724 0.3518 0.5447  10 Pd 2.68-2.84, 2 Li 2.97
Pd 0.3142 0.0816 0.6284  3 Li 2.68-2.84, 8 Pd 2.72-2.92, 1 Sm 2.84
Pd 0.9514 0.2787 0.9028  1 Li 2.72, 9 Pd 2.76-3.01, 2 Sm 2.92
Pd 0.1460 0.2089 0.2920  3 Li 2.69-2.70, 6 Pd 2.75-2.94, 2 Sm 2.93
Pd 0.0486 0.7213 0.0972  1 Li 2.72, 9 Pd 2.76-3.01, 2 Sm 2.92
Pd 0.5967 0.4724 0.1934  8 Pd 2.76-2.90, 3 Li 2.76-2.83, 1 Sm 2.92
Pd 0.6858 0.9184 0.3716  3 Li 2.68-2.84, 8 Pd 2.72-2.92, 1 Sm 2.84
Pd 0.4033 0.5276 0.8066  8 Pd 2.76-2.90, 3 Li 2.76-2.83, 1 Sm 2.92
Pd 0.8540 0.7911 0.7080  3 Li 2.69-2.70, 6 Pd 2.75-2.94, 2 Sm 2.93
Sm 0.5000 0.0000 0.0000  12 Pd 2.84-2.93

Space-group type: C2/m, No. 12


A plane-wave DFT calculation with PBE was carried out for Li2Sm2Pd15 after structural relaxation.

Cell: 6.9712 6.9712 6.9712 Å, 81.69 81.69 81.69°
Closest atoms and distances in Å follow each position.
Element x y z (fractional)
Pd 0.3419 0.3419 0.8387  8 Pd 2.62-2.79, 1 Li 2.86
Pd 0.6845 0.0000 0.3155  8 Pd 2.70-2.88
Pd 0.6581 0.6581 0.1613  8 Pd 2.62-2.79, 1 Li 2.86
Pd 0.3419 0.8387 0.3419  8 Pd 2.62-2.79, 1 Li 2.86
Pd 0.6845 0.3155 0.0000  8 Pd 2.70-2.88
Pd 0.0000 0.3155 0.6845  8 Pd 2.70-2.88
Pd 0.3155 0.0000 0.6845  8 Pd 2.70-2.88
Pd 0.1613 0.6581 0.6581  8 Pd 2.62-2.79, 1 Li 2.86
Pd 0.6581 0.1613 0.6581  8 Pd 2.62-2.79, 1 Li 2.86
Pd 0.5000 0.0000 0.0000  8 Pd 2.64-2.70, 2 Li 2.81
Pd 0.3155 0.6845 0.0000  8 Pd 2.70-2.88
Pd 0.0000 0.6845 0.3155  8 Pd 2.70-2.88
Pd 0.0000 0.5000 0.0000  8 Pd 2.64-2.70, 2 Li 2.81
Pd 0.0000 0.0000 0.5000  8 Pd 2.64-2.70, 2 Li 2.81
Pd 0.8387 0.3419 0.3419  8 Pd 2.62-2.79, 1 Li 2.86
Sm 0.6548 0.6548 0.6548  12 Pd 3.13-3.43, 1 Li 3.43
Sm 0.3452 0.3452 0.3452  12 Pd 3.13-3.43, 1 Li 3.43
Li 0.9053 0.9053 0.9053  1 Li 2.60, 6 Pd 2.81-2.86
Li 0.0947 0.0947 0.0947  1 Li 2.60, 6 Pd 2.81-2.86

Space-group type: R-3m, No. 166


A plane-wave DFT calculation with PBE was carried out for LiSm2Pd after structural relaxation.

Cell: 3.7284 5.0538 5.0538 Å, 90.00 90.00 90.00°
Closest atoms and distances in Å follow each position.
Element x y z (fractional)
Sm 0.0000 0.5000 0.0000  4 Pd 3.14, 4 Li 3.14
Sm 0.0000 0.0000 0.5000  4 Pd 3.14, 4 Li 3.14
Li 0.5000 0.0000 0.0000  8 Sm 3.14
Pd 0.5000 0.5000 0.5000  8 Sm 3.14

Space-group type: P4/mmm, No. 123


A plane-wave DFT calculation with PBE was carried out for LiSm2Pd4 after structural relaxation.

Cell: 6.1031 6.1031 5.9263 Å, 121.10 121.10 89.82°
Closest atoms and distances in Å follow each position.
Element x y z (fractional)
Sm 0.7500 0.2500 0.5000  8 Pd 2.97
Sm 0.2500 0.7500 0.5000  8 Pd 2.97
Pd 0.2781 0.2781 0.0000  1 Li 2.40
Pd 0.2790 0.7209 0.0000  1 Li 2.40
Pd 0.7210 0.2791 0.0001  1 Li 2.40
Pd 0.7219 0.7219 0.0000  1 Li 2.40
Li 0.9999 0.9999 0.9999  4 Pd 2.40

Space-group type: Fmmm, No. 69
Energy above the lowest structure with this stoichiometry: 0 meV/atom


Number 1: formation enthalpy at 0 K -0.557 eV/atom. Number 2: formation enthalpy at 0 K -0.501 eV/atom. Number 3: formation enthalpy at 0 K -0.426 eV/atom. Number 4: formation enthalpy at 0 K -0.412 eV/atom. Number 5: formation enthalpy at 0 K -0.346 eV/atom. Number 6: formation enthalpy at 0 K -0.539 eV/atom.